Density functional theory data (PBE with a Hubbard U) for a relaxed NpMn2GaO8 crystal.

## Properties
The final energy is -90.8 eV/cell. The calculation puts the size of the total moment at 8.000 μB/cell. As for the space-group type: No. 119.

POSCAR file:
```
NpMn2GaO8
1.0
-3.2305 3.2305 3.5210
3.2305 -3.2305 3.5210
3.2305 3.2305 -3.5210
Np Mn Ga O
1 2 1 8
direct
0.0000 0.0000 0.0000
0.5000 0.5000 0.0000
0.7500 0.2500 0.5000
0.2500 0.7500 0.5000
0.3085 0.1149 0.8064
0.3085 0.5021 0.1936
0.3351 0.0360 0.2991
0.4979 0.6915 0.8064
0.7368 0.0360 0.7009
0.8851 0.6915 0.1936
0.9640 0.2632 0.2991
0.9640 0.6649 0.7009
```